Entry one
{"formula": "Na2Cd2Tc", "functional": "GGA-PBE", "state": "optimized geometry", "cell": [[3.822, 0.000, 0.000], [0.000, 3.822, 0.000], [1.911, 1.911, 7.700]], "species": ["Cd", "Tc", "Na", "Na", "Cd"], "fractional_positions": [[0.410, 0.410, 0.179], [0.000, 0.000, 0.000], [0.250, 0.750, 0.500], [0.750, 0.250, 0.500], [0.590, 0.590, 0.821]], "dos_at_fermi_per_ev_fu": 5.14, "vol_a3_per_atom": 22.49, "sg": "I4/mmm (139)"}

---

Entry two
{"formula": "Na2Cd2Tc", "functional": "GGA-PBE", "state": "optimized geometry", "cell": [[-6.147, 5.300, -2.717], [-5.383, -3.273, 5.794], [0.859, 1.977, 1.914]], "species": ["Cd", "Tc", "Na", "Cd", "Na", "Cd", "Na", "Na", "Tc", "Cd"], "fractional_positions": [[0.329, 0.829, 0.000], [0.000, 0.000, 0.000], [0.131, 0.631, 0.500], [0.171, 0.329, 0.000], [0.369, 0.131, 0.500], [0.671, 0.171, 0.000], [0.869, 0.369, 0.500], [0.631, 0.869, 0.500], [0.500, 0.500, 0.000], [0.829, 0.671, 0.000]], "dos_at_fermi_per_ev_fu": 4.73, "vol_a3_per_atom": 21.12, "sg": "P4/mbm (127)"}

---

Q: Which of them is the least stable? A: entry one.